# TaZn2Au PBE-GGA relaxed
data_TaZn2Au
_chemical_formula_sum 'Ta1 Zn2 Au1'
_symmetry_space_group_name_H-M 'P 1'
_symmetry_Int_Tables_number 1
_cell_length_a 5.4011
_cell_length_b 5.4011
_cell_length_c 2.7372
_cell_angle_alpha 79.30
_cell_angle_beta 79.30
_cell_angle_gamma 116.83
loop_
_symmetry_equiv_pos_as_xyz
'x,y,z'
loop_
_atom_site_label
_atom_site_fract_x
_atom_site_fract_y
_atom_site_fract_z
Ta1 0.0000 0.5000 0.5000
Zn1 0.0000 0.0000 0.0000
Zn2 0.5000 0.5000 0.0000
Au1 0.5000 0.0000 0.5000
# E above lowest polymorph (meV per atom): 162
# Total DFT energy (no corrections) (eV/atom): -4.341
# DFT formation energy (eV per atom): 0.078
# Calculated density (g/cm3): 12.7

# TaZnAu2 PBE-GGA relaxed
data_TaZnAu2
_chemical_formula_sum 'Ta1 Zn1 Au2'
_symmetry_space_group_name_H-M 'P 1'
_symmetry_Int_Tables_number 1
_cell_length_a 4.9565
_cell_length_b 7.7128
_cell_length_c 2.8475
_cell_angle_alpha 68.22
_cell_angle_beta 90.08
_cell_angle_gamma 132.18
loop_
_symmetry_equiv_pos_as_xyz
'x,y,z'
loop_
_atom_site_label
_atom_site_fract_x
_atom_site_fract_y
_atom_site_fract_z
Au1 0.0000 0.0000 0.0000
Au2 0.0000 0.5000 0.5000
Zn1 0.5000 0.0000 0.5000
Ta1 0.5000 0.5000 0.0000
# Total DFT energy (no corrections) (eV/atom): -4.887
# DFT formation energy (eV per atom): 0.034
# Calculated density (g/cm3): 15.2

# TaZnAu2 PBE-GGA relaxed
data_TaZnAu2
_chemical_formula_sum 'Ta1 Zn1 Au2'
_symmetry_space_group_name_H-M 'P 1'
_symmetry_Int_Tables_number 1
_cell_length_a 4.5791
_cell_length_b 4.5791
_cell_length_c 4.5791
_cell_angle_alpha 60.00
_cell_angle_beta 60.00
_cell_angle_gamma 60.00
loop_
_symmetry_equiv_pos_as_xyz
'x,y,z'
loop_
_atom_site_label
_atom_site_fract_x
_atom_site_fract_y
_atom_site_fract_z
Au1 0.2500 0.2500 0.2500
Au2 0.0000 0.0000 0.0000
Zn1 0.7500 0.7500 0.7500
Ta1 0.5000 0.5000 0.5000
# Total DFT energy (no corrections) (eV/atom): -4.812
# DFT formation energy (eV per atom): 0.109
# Calculated density (g/cm3): 15.7

# TaZn2Au PBE-GGA relaxed
data_TaZn2Au
_chemical_formula_sum 'Ta2 Zn4 Au2'
_symmetry_space_group_name_H-M 'P 1'
_symmetry_Int_Tables_number 1
_cell_length_a 7.1441
_cell_length_b 7.1441
_cell_length_c 5.7630
_cell_angle_alpha 51.70
_cell_angle_beta 51.70
_cell_angle_gamma 90.00
loop_
_symmetry_equiv_pos_as_xyz
'x,y,z'
loop_
_atom_site_label
_atom_site_fract_x
_atom_site_fract_y
_atom_site_fract_z
Zn1 0.6370 0.1250 0.2500
Zn2 0.8750 0.8870 0.7500
Zn3 0.1130 0.6250 0.2500
Zn4 0.3750 0.3630 0.7500
Au1 0.0000 0.0000 0.0000
Au2 0.7500 0.2500 0.5000
Ta1 0.2500 0.7500 0.5000
Ta2 0.5000 0.5000 0.0000
# E above lowest polymorph (meV per atom): 427
# Total DFT energy (no corrections) (eV/atom): -4.076
# DFT formation energy (eV per atom): 0.343
# Calculated density (g/cm3): 11.9

# TaZn2Au PBE-GGA relaxed
data_TaZn2Au
_chemical_formula_sum 'Ta1 Zn2 Au1'
_symmetry_space_group_name_H-M 'P 1'
_symmetry_Int_Tables_number 1
_cell_length_a 2.8269
_cell_length_b 3.9345
_cell_length_c 5.8941
_cell_angle_alpha 90.00
_cell_angle_beta 90.00
_cell_angle_gamma 90.00
loop_
_symmetry_equiv_pos_as_xyz
'x,y,z'
loop_
_atom_site_label
_atom_site_fract_x
_atom_site_fract_y
_atom_site_fract_z
Au1 0.0000 0.0000 0.4943
Ta1 0.5000 0.5000 0.7562
Zn1 0.5000 0.5000 0.2407
Zn2 0.0000 0.0000 0.0088
# E above lowest polymorph (meV per atom): 123
# Total DFT energy (no corrections) (eV/atom): -4.380
# DFT formation energy (eV per atom): 0.039
# Calculated density (g/cm3): 12.9

# ZrTa2Au PBE-GGA relaxed
data_ZrTa2Au
_chemical_formula_sum 'Zr1 Ta2 Au1'
_symmetry_space_group_name_H-M 'P 1'
_symmetry_Int_Tables_number 1
_cell_length_a 9.6682
_cell_length_b 9.6682
_cell_length_c 9.6682
_cell_angle_alpha 18.38
_cell_angle_beta 18.38
_cell_angle_gamma 18.38
loop_
_symmetry_equiv_pos_as_xyz
'x,y,z'
loop_
_atom_site_label
_atom_site_fract_x
_atom_site_fract_y
_atom_site_fract_z
Au1 0.7500 0.7500 0.7500
Zr1 0.2500 0.2500 0.2500
Ta1 0.4971 0.4971 0.4971
Ta2 0.0029 0.0029 0.0029
# E above lowest polymorph (meV per atom): 307
# Total DFT energy (no corrections) (eV/atom): -8.706
# DFT formation energy (eV per atom): 0.177
# Calculated density (g/cm3): 13.8